Entry 1:
# Ba4LaHg (PBE, relaxed)
# - Fermi-level density of states (states/eV/f.u.) = 12.16
# - crystal system = cubic
# - energy of formation (eV per atom) = 0.403
data_Ba4LaHg
_cell_length_a 10.700
_cell_length_b 10.700
_cell_length_c 10.700
_cell_angle_alpha 90.00
_cell_angle_beta 90.00
_cell_angle_gamma 90.00
_symmetry_space_group_name_H-M 'F -4 3 m'
_symmetry_Int_Tables_number 216
_symmetry_space_group_name_Hall 'F -4 2 3'
loop_
_atom_site_label
_atom_site_fract_x
_atom_site_fract_y
_atom_site_fract_z
_atom_site_occupancy
Ba1 0.125 0.125 0.125 1
La1 0.000 0.000 0.500 1
Hg1 0.250 0.250 0.750 1


Entry 2:
# ScOsRu (PBE, relaxed)
# - Fermi-level density of states (states/eV/f.u.) = 2.28
# - crystal system = orthorhombic
# - energy of formation (eV per atom) = -0.101
# - excess energy over the best structure of this formula in the dataset (meV per atom) = 236
data_ScOsRu
_cell_length_a 3.001
_cell_length_b 14.285
_cell_length_c 4.488
_cell_angle_alpha 90.00
_cell_angle_beta 90.00
_cell_angle_gamma 90.00
_symmetry_space_group_name_H-M 'C m c m'
_symmetry_Int_Tables_number 63
_symmetry_space_group_name_Hall '-C 2c 2'
loop_
_atom_site_label
_atom_site_fract_x
_atom_site_fract_y
_atom_site_fract_z
_atom_site_occupancy
Sc1 0.000 0.087 0.250 1
Os1 0.000 0.417 0.250 1
Ru1 0.000 0.230 0.750 1


| no. | total moment (μB/f.u.) |
| --- | --- |
| 1 | 2.67 |
| 2 | 0.00 |